1.
A geometry-optimized BaGe2BiTe structure. Source: the Alexandria database, functional PBE-GGA.

Output
**Formation energy from raw total energies**: 1.164 eV per atom
**Crystal system**: tetragonal

abc: 5.774 5.774 6.503
angles: 90.00 90.00 90.00
Space group P4/mmm (No. 123)
Unique sites:
Ba  0.000  0.000  0.000 x1
Ge  0.000  0.500  0.000 x2
Bi  0.000  0.000  0.500 x1
Te  0.500  0.500  0.500 x1

=====

2.
A geometry-optimized KAlTl structure. Source: the Alexandria database, functional PBE-GGA.

Output
**DFT formation energy**: 0.0328 eV/atom
**Crystal system**: monoclinic
**Polymorph energy (0 for the lowest one)**: 0.054 eV/f.u.

abc: 8.127 4.584 12.445
angles: 90.00 102.12 90.00
Space group Cm (No. 8)
Unique sites:
K  0.000  0.000  0.000 x2
K  0.219  0.000  0.680 x2
Al  0.102  0.000  0.340 x2
Al  0.271  0.500  0.340 x2
Tl  0.391  0.000  0.196 x2
Tl  0.483  0.000  0.484 x2

=====

3.
A geometry-optimized LaHoEr3Sc structure. Source: the Alexandria database, functional PBE-GGA.

Output
**DFT formation energy**: 0.0513 eV/atom
**Crystal system**: orthorhombic

abc: 4.960 14.880 9.986
angles: 90.00 90.00 90.00
Space group Cmcm (No. 63)
Unique sites:
La  0.000  0.003  0.250 x4
Ho  0.000  0.500  0.000 x4
Er  0.000  0.169  0.501 x8
Er  0.000  0.329  0.250 x4
Sc  0.000  0.330  0.750 x4

=====

4.
A geometry-optimized LiEr2Au6 structure. Source: the Alexandria database, functional PBE-GGA.

Output
**DFT formation energy**: -0.5967 eV/atom
**Crystal system**: orthorhombic
**Polymorph energy (0 for the lowest one)**: 0.339 eV/f.u.

abc: 7.438 13.952 3.605
angles: 90.00 90.00 90.00
Space group Cmmm (No. 65)
Unique sites:
Li  0.000  0.000  0.000 x2
Er  0.000  0.300  0.500 x4
Au  0.195  0.152  0.000 x8
Au  0.199  0.500  0.500 x4

=====

5.
A geometry-optimized Dy2CN2O2 structure. Source: the Alexandria database, functional PBE-GGA.

Output
**Formation energy from raw total energies**: -2.194 eV per atom
**Crystal system**: trigonal

abc: 3.7360 3.7360 8.2010
angles: 90.00 90.00 120.00
Space group P-3m1 (No. 164)
Unique sites:
Dy  0.3333  0.6667  0.1770 x2
C  0.0000  0.0000  0.5000 x1
N  0.0000  0.0000  0.3493 x2
O  0.3333  0.6667  0.8972 x2

=====

6.
A geometry-optimized Ac3TlO2 structure. Source: the Alexandria database, functional PBE-GGA.

Output
**Formation energy from raw total energies**: -1.987 eV per atom
**Crystal system**: orthorhombic

abc: 9.818 12.685 5.933
angles: 90.00 90.00 90.00
Space group Cmcm (No. 63)
Unique sites:
Ac  0.000  0.100  0.250 x4
Ac  0.207  0.391  0.250 x8
Tl  0.000  0.306  0.750 x4
O  0.157  0.000  0.000 x8

=====

7.
A geometry-optimized Cr4C5 structure. Source: the Alexandria database, functional PBE-GGA.

Output
**DFT formation energy**: 0.6757 eV/atom
**Crystal system**: tetragonal
**Polymorph energy (0 for the lowest one)**: 0.000 eV/f.u.

abc: 7.662 7.662 2.674
angles: 90.00 90.00 90.00
Space group I4/mmm (No. 139)
Unique sites:
Cr  0.000  0.247  0.000 x8
C  0.000  0.000  0.000 x2
C  0.214  0.214  0.500 x8

=====

8.
A geometry-optimized Cr2ReW structure. Source: the Alexandria database, functional PBE-GGA.

Output
**DFT formation energy**: 0.0861 eV/atom
**Crystal system**: monoclinic

abc: 2.648 4.200 5.048
angles: 90.00 99.89 90.00
Space group P2/m (No. 10)
Unique sites:
Cr  0.243  0.000  0.246 x2
Re  0.500  0.500  0.000 x1
W  0.000  0.500  0.500 x1

=====

Calculated E_tot, -12.36 -28.43 -116.87 -72.15 -60.35 -146.12 -157.06 -44.30 eV/cell (same order as the records).